# 1
Here is an optimized crystal structure of Pm5NdSm6 from Alexandria. Energies are from GGA-PBE.

a = 9.624 Å, b = 9.624 Å, c = 5.152 Å
α = 105.47°, β = 105.47°, γ = 64.67°
Fractional coordinates of all 12 atoms:
Pm (0.000, 0.000, 0.000)
Pm (0.167, 0.167, 0.667)
Pm (0.333, 0.333, 0.333)
Pm (0.667, 0.667, 0.667)
Pm (0.833, 0.833, 0.333)
Nd (0.500, 0.500, 0.000)
Sm (0.083, 0.584, 0.833)
Sm (0.249, 0.751, 0.500)
Sm (0.416, 0.917, 0.167)
Sm (0.584, 0.083, 0.833)
Sm (0.751, 0.249, 0.500)
Sm (0.917, 0.416, 0.167)

Results
- D(E_F): 1.526 states/eV per atom
- Energy relative to the elements: 16 kJ/mol of formula units
- Total magnetic moment: 0.00 μB/cell
- Density: 7.19 g/cm3



# 2
Here is an optimized crystal structure of Pm6NdSm12 from Alexandria. Energies are from GGA-PBE.

a = 9.625 Å, b = 9.625 Å, c = 9.625 Å
α = 110.91°, β = 110.91°, γ = 110.91°
Fractional coordinates of all 19 atoms:
Pm (0.053, 0.579, 0.368)
Pm (0.368, 0.053, 0.579)
Pm (0.421, 0.632, 0.947)
Pm (0.579, 0.368, 0.053)
Pm (0.632, 0.947, 0.421)
Pm (0.947, 0.421, 0.632)
Nd (0.000, 0.000, 0.000)
Sm (0.105, 0.158, 0.737)
Sm (0.158, 0.737, 0.105)
Sm (0.211, 0.316, 0.474)
Sm (0.263, 0.895, 0.842)
Sm (0.316, 0.474, 0.211)
Sm (0.474, 0.211, 0.316)
Sm (0.526, 0.789, 0.684)
Sm (0.684, 0.526, 0.789)
Sm (0.737, 0.105, 0.158)
Sm (0.789, 0.684, 0.526)
Sm (0.842, 0.263, 0.895)
Sm (0.895, 0.842, 0.263)

Results
- D(E_F): 1.448 states/eV per atom
- Energy relative to the elements: 23 kJ/mol of formula units
- Total magnetic moment: 0.00 μB/cell
- E above lowest polymorph: 0.0 meV per atom
- Density: 7.23 g/cm3



# 3
Here is an optimized crystal structure of Pm9Nd2Sm from Alexandria. Energies are from GGA-PBE.

a = 11.550 Å, b = 11.550 Å, c = 3.567 Å
α = 90.00°, β = 90.00°, γ = 120.00°
Fractional coordinates of all 12 atoms:
Pm (0.000, 0.500, 0.000)
Pm (0.173, 0.346, 0.500)
Pm (0.173, 0.827, 0.500)
Pm (0.346, 0.173, 0.500)
Pm (0.500, 0.000, 0.000)
Pm (0.500, 0.500, 0.000)
Pm (0.654, 0.827, 0.500)
Pm (0.827, 0.173, 0.500)
Pm (0.827, 0.654, 0.500)
Nd (0.333, 0.667, 0.000)
Nd (0.667, 0.333, 0.000)
Sm (0.000, 0.000, 0.000)

Results
- D(E_F): 1.250 states/eV per atom
- Energy relative to the elements: 49 kJ/mol of formula units
- Total magnetic moment: 0.00 μB/cell
- E above lowest polymorph: 27.8 meV per atom
- Density: 7.03 g/cm3



# 4
Here is an optimized crystal structure of PmNd3Sm2 from Alexandria. Energies are from GGA-PBE.

a = 8.991 Å, b = 8.991 Å, c = 8.991 Å
α = 101.89°, β = 95.50°, γ = 134.27°
Fractional coordinates of all 12 atoms:
Pm (0.000, 0.000, 0.000)
Pm (0.500, 0.500, 0.000)
Nd (0.014, 0.250, 0.764)
Nd (0.250, 0.750, 0.500)
Nd (0.486, 0.250, 0.236)
Nd (0.514, 0.750, 0.764)
Nd (0.750, 0.250, 0.500)
Nd (0.986, 0.750, 0.236)
Sm (0.200, 0.744, 0.944)
Sm (0.300, 0.244, 0.544)
Sm (0.700, 0.756, 0.456)
Sm (0.800, 0.256, 0.056)

Results
- D(E_F): 1.771 states/eV per atom
- Energy relative to the elements: 315 kJ/mol of formula units
- Total magnetic moment: 0.00 μB/cell
- E above lowest polymorph: 476.1 meV per atom
- Density: 6.10 g/cm3



# 5
Here is an optimized crystal structure of Pm5Nd2Sm4 from Alexandria. Energies are from GGA-PBE.

a = 12.317 Å, b = 12.317 Å, c = 8.949 Å
α = 96.65°, β = 96.65°, γ = 16.37°
Fractional coordinates of all 11 atoms:
Pm (0.000, 0.000, 0.000)
Pm (0.268, 0.268, 0.176)
Pm (0.359, 0.359, 0.882)
Pm (0.641, 0.641, 0.118)
Pm (0.732, 0.732, 0.824)
Nd (0.409, 0.409, 0.266)
Nd (0.591, 0.591, 0.734)
Sm (0.178, 0.178, 0.471)
Sm (0.454, 0.454, 0.639)
Sm (0.546, 0.546, 0.361)
Sm (0.822, 0.822, 0.529)

Results
- D(E_F): 1.690 states/eV per atom
- Energy relative to the elements: 142 kJ/mol of formula units
- Total magnetic moment: 0.00 μB/cell
- E above lowest polymorph: 0.0 meV per atom
- Density: 7.06 g/cm3



# 6
Here is an optimized crystal structure of Pm5Nd3Sm from Alexandria. Energies are from GGA-PBE.

a = 10.199 Å, b = 10.199 Å, c = 7.316 Å
α = 90.00°, β = 90.00°, γ = 55.67°
Fractional coordinates of all 18 atoms:
Pm (0.014, 0.661, 0.000)
Pm (0.014, 0.661, 0.500)
Pm (0.181, 0.819, 0.750)
Pm (0.339, 0.986, 0.000)
Pm (0.339, 0.986, 0.500)
Pm (0.661, 0.014, 0.000)
Pm (0.661, 0.014, 0.500)
Pm (0.819, 0.181, 0.250)
Pm (0.986, 0.339, 0.000)
Pm (0.986, 0.339, 0.500)
Nd (0.317, 0.317, 0.250)
Nd (0.317, 0.317, 0.750)
Nd (0.500, 0.500, 0.000)
Nd (0.500, 0.500, 0.500)
Nd (0.683, 0.683, 0.250)
Nd (0.683, 0.683, 0.750)
Sm (0.180, 0.820, 0.250)
Sm (0.820, 0.180, 0.750)

Results
- D(E_F): 1.580 states/eV per atom
- Energy relative to the elements: 112 kJ/mol of formula units
- Total magnetic moment: 0.00 μB/cell
- E above lowest polymorph: 0.0 meV per atom
- Density: 6.91 g/cm3



# 7
Here is an optimized crystal structure of Pm3Nd2Sm2 from Alexandria. Energies are from GGA-PBE.

a = 9.075 Å, b = 9.075 Å, c = 8.800 Å
α = 118.36°, β = 118.36°, γ = 22.58°
Fractional coordinates of all 7 atoms:
Pm (0.000, 0.000, 0.000)
Pm (0.213, 0.213, 0.303)
Pm (0.787, 0.787, 0.697)
Nd (0.147, 0.147, 0.830)
Nd (0.853, 0.853, 0.170)
Sm (0.435, 0.435, 0.593)
Sm (0.565, 0.565, 0.407)

Results
- D(E_F): 1.420 states/eV per atom
- Energy relative to the elements: 69 kJ/mol of formula units
- Total magnetic moment: 0.00 μB/cell
- E above lowest polymorph: 87.5 meV per atom
- Density: 6.99 g/cm3



# 8
Here is an optimized crystal structure of Pm4Nd3Sm2 from Alexandria. Energies are from GGA-PBE.

a = 6.331 Å, b = 6.334 Å, c = 9.670 Å
α = 70.90°, β = 89.99°, γ = 60.05°
Fractional coordinates of all 9 atoms:
Pm (0.111, 0.112, 0.333)
Pm (0.333, 0.333, 0.000)
Pm (0.667, 0.667, 0.000)
Pm (0.889, 0.888, 0.667)
Nd (0.000, 0.000, 0.000)
Nd (0.444, 0.445, 0.333)
Nd (0.556, 0.555, 0.667)
Sm (0.222, 0.222, 0.666)
Sm (0.778, 0.778, 0.334)

Results
- D(E_F): 1.522 states/eV per atom
- Energy relative to the elements: 11 kJ/mol of formula units
- Total magnetic moment: 0.00 μB/cell
- E above lowest polymorph: 0.0 meV per atom
- Density: 7.01 g/cm3



# 9
Here is an optimized crystal structure of Pm2Nd3Sm8 from Alexandria. Energies are from GGA-PBE.

a = 8.794 Å, b = 8.794 Å, c = 6.901 Å
α = 98.13°, β = 98.13°, γ = 63.41°
Fractional coordinates of all 13 atoms:
Pm (0.200, 0.200, 0.286)
Pm (0.800, 0.800, 0.714)
Nd (0.000, 0.000, 0.500)
Nd (0.171, 0.829, 0.000)
Nd (0.829, 0.171, 0.000)
Sm (0.205, 0.565, 0.565)
Sm (0.211, 0.211, 0.797)
Sm (0.417, 0.417, 0.129)
Sm (0.435, 0.795, 0.435)
Sm (0.565, 0.205, 0.565)
Sm (0.583, 0.583, 0.871)
Sm (0.789, 0.789, 0.203)
Sm (0.795, 0.435, 0.435)

Results
- D(E_F): 1.567 states/eV per atom
- Energy relative to the elements: 312 kJ/mol of formula units
- Total magnetic moment: 0.00 μB/cell
- E above lowest polymorph: 94.5 meV per atom
- Density: 6.79 g/cm3



# 10
Here is an optimized crystal structure of PmNd4Sm7 from Alexandria. Energies are from GGA-PBE.

a = 6.817 Å, b = 6.817 Å, c = 12.971 Å
α = 114.81°, β = 114.81°, γ = 52.84°
Fractional coordinates of all 12 atoms:
Pm (0.000, 0.000, 0.000)
Nd (0.139, 0.139, 0.777)
Nd (0.440, 0.440, 0.673)
Nd (0.560, 0.560, 0.327)
Nd (0.861, 0.861, 0.223)
Sm (0.132, 0.132, 0.502)
Sm (0.254, 0.254, 0.320)
Sm (0.289, 0.289, 0.078)
Sm (0.500, 0.500, 0.000)
Sm (0.711, 0.711, 0.922)
Sm (0.746, 0.746, 0.680)
Sm (0.868, 0.868, 0.498)

Results
- D(E_F): 1.589 states/eV per atom
- Energy relative to the elements: 274 kJ/mol of formula units
- Total magnetic moment: 0.00 μB/cell
- E above lowest polymorph: 227.1 meV per atom
- Density: 6.94 g/cm3



# 11
Here is an optimized crystal structure of Pm4Nd3Sm5 from Alexandria. Energies are from GGA-PBE.

a = 6.322 Å, b = 7.291 Å, c = 8.945 Å
α = 90.00°, β = 89.88°, γ = 89.93°
Fractional coordinates of all 12 atoms:
Pm (0.167, 0.000, 0.333)
Pm (0.333, 0.750, 0.667)
Pm (0.667, 0.250, 0.333)
Pm (0.833, 0.000, 0.667)
Nd (0.333, 0.250, 0.667)
Nd (0.500, 0.500, 0.000)
Nd (0.667, 0.750, 0.333)
Sm (0.000, 0.250, 0.000)
Sm (0.000, 0.750, 0.000)
Sm (0.166, 0.500, 0.333)
Sm (0.500, 0.000, 0.000)
Sm (0.834, 0.500, 0.667)

Results
- D(E_F): 1.460 states/eV per atom
- Energy relative to the elements: 14 kJ/mol of formula units
- Total magnetic moment: 0.00 μB/cell
- E above lowest polymorph: 0.0 meV per atom
- Density: 7.11 g/cm3



# 12
Here is an optimized crystal structure of Pm12Nd7Sm from Alexandria. Energies are from GGA-PBE.

a = 8.920 Å, b = 8.920 Å, c = 8.920 Å
α = 87.18°, β = 87.18°, γ = 87.18°
Fractional coordinates of all 20 atoms:
Pm (0.008, 0.883, 0.365)
Pm (0.117, 0.635, 0.992)
Pm (0.224, 0.353, 0.754)
Pm (0.246, 0.776, 0.647)
Pm (0.353, 0.754, 0.224)
Pm (0.365, 0.008, 0.883)
Pm (0.635, 0.992, 0.117)
Pm (0.647, 0.246, 0.776)
Pm (0.754, 0.224, 0.353)
Pm (0.776, 0.647, 0.246)
Pm (0.883, 0.365, 0.008)
Pm (0.992, 0.117, 0.635)
Nd (0.000, 0.000, 0.000)
Nd (0.105, 0.424, 0.349)
Nd (0.349, 0.105, 0.424)
Nd (0.424, 0.349, 0.105)
Nd (0.576, 0.651, 0.895)
Nd (0.651, 0.895, 0.576)
Nd (0.895, 0.576, 0.651)
Sm (0.500, 0.500, 0.500)

Results
- D(E_F): 1.951 states/eV per atom
- Energy relative to the elements: 419 kJ/mol of formula units
- Total magnetic moment: 0.00 μB/cell
- E above lowest polymorph: 0.0 meV per atom
- Density: 6.81 g/cm3